DFT (PBE-GGA) results for YPa2P3 after structural relaxation.

Unit cell a=5.628 b=7.959 c=11.912 alpha=90.00 beta=90.00 gamma=90.00
Atoms (fractional coordinates):
P  0.250  0.125  0.584
P  0.750  0.375  0.084
Pa  0.750  0.124  0.583
P  0.750  0.372  0.415
Pa  0.250  0.875  0.751
P  0.751  0.374  0.749
P  0.250  0.625  0.916
Pa  0.250  0.876  0.417
Y  0.250  0.876  0.081
P  0.249  0.626  0.251
Y  0.250  0.376  0.419
P  0.250  0.628  0.585
Pa  0.750  0.624  0.917
Pa  0.750  0.125  0.249
P  0.249  0.126  0.249
Pa  0.750  0.625  0.251
P  0.751  0.874  0.751
Y  0.750  0.124  0.919
Y  0.750  0.624  0.581
P  0.750  0.872  0.085
P  0.750  0.875  0.416
P  0.250  0.128  0.915
Pa  0.250  0.375  0.749
Pa  0.250  0.376  0.083

Magnetization   0.000 μB/f.u.
Calculated formation energy   -1.4188 eV per atom
N(E_F)   26.40 states/eV per cell


DFT (PBE-GGA) results for Sc4PaCo5 after structural relaxation.

Unit cell a=3.216 b=3.216 c=15.615 alpha=90.00 beta=90.00 gamma=90.00
Atoms (fractional coordinates):
Co  0.500  0.500  0.093
Sc  0.000  0.000  0.402
Sc  0.000  0.000  0.598
Co  0.500  0.500  0.907
Co  0.500  0.500  0.500
Sc  0.000  0.000  0.206
Co  0.500  0.500  0.700
Co  0.500  0.500  0.300
Sc  0.000  0.000  0.794
Pa  0.000  0.000  0.000

Magnetization   1.375 μB/f.u.
Calculated formation energy   -0.3151 eV per atom
N(E_F)   3.59 states/eV per cell


Going through the records in order, we get volume values of 133.4, 161.5 Å³/f.u..
Going through the records in order, we get density values of 8.0, 7.3 g/cm3.